# 1
VASP calculation (PBE) on crystalline U2GaI8 at its relaxed geometry.

```
U2GaI8
1.0
-4.195 -2.277 -6.348
6.925 -5.603 -3.646
-0.645 -9.229 2.657
I Ga U
8 1 2
Direct
0.765 0.697 0.117
0.235 0.883 0.303
0.743 0.178 0.178
0.760 0.640 0.640
0.257 0.822 0.822
0.765 0.117 0.697
0.240 0.360 0.360
0.235 0.303 0.883
0.000 0.000 0.000
0.629 0.814 0.814
0.371 0.186 0.186
```

space group = C2/m, No. 12
formation energy without anion corrections = -0.576 eV per atom
volume = 60.80 Å³ per atom
distance to the lowest polymorph of the same formula = 16 meV/atom

# 2
VASP calculation (PBE) on crystalline UGa6I12 at its relaxed geometry.

```
UGa6I12
1.0
9.314 3.647 -0.231
-0.309 9.998 -0.231
2.407 3.647 9.001
I Ga U
12 6 1
Direct
0.857 0.499 0.393
0.393 0.857 0.499
0.300 0.039 0.893
0.501 0.607 0.143
0.107 0.700 0.961
0.700 0.961 0.107
0.039 0.893 0.300
0.607 0.143 0.501
0.893 0.300 0.039
0.499 0.393 0.857
0.143 0.501 0.607
0.961 0.107 0.700
0.865 0.680 0.555
0.445 0.135 0.320
0.320 0.445 0.135
0.680 0.555 0.865
0.555 0.865 0.680
0.135 0.320 0.445
0.000 0.000 0.000
```

space group = R-3, No. 148
formation energy without anion corrections = -0.408 eV per atom
volume = 45.26 Å³ per atom